<i>
A geometry-optimized PdSeSCl2 structure. Source: Alexandria via LeMat-Bulk, functional GGA-PBE.

Cell: 4.869 4.869 5.025 Å, 90.00 90.00 90.00°
Element x y z (fractional)
1 Pd 0.000 0.000 0.000
2 Se 0.500 0.500 0.500
3 S 0.500 0.500 0.000
4 Cl 0.000 0.500 0.500
5 Cl 0.500 0.000 0.500

- Total magnetization: 0.2036 μB/atom
- Theoretical density: 4.0 g/cm³
- Symmetry: P4/mmm


<ii>
A geometry-optimized PdSeSCl2 structure. Source: Alexandria via LeMat-Bulk, functional GGA-PBE.

Cell: 4.768 4.768 4.849 Å, 90.00 90.00 90.00°
Element x y z (fractional)
1 Pd 0.000 0.000 0.000
2 Se 0.500 0.500 0.500
3 S 0.000 0.000 0.500
4 Cl 0.000 0.500 0.000
5 Cl 0.500 0.000 0.000

- Total magnetization: 0.2478 μB/atom
- Theoretical density: 4.3 g/cm³
- Symmetry: P4/mmm


Stability verdict: <ii>, ahead by 185 meV/atom


<i>
A geometry-optimized SrPdSCl2 structure. Source: Alexandria via LeMat-Bulk, functional GGA-PBE.

Cell: 4.857 4.857 4.947 Å, 90.00 90.00 90.00°
Element x y z (fractional)
1 Sr 0.000 0.000 0.000
2 Pd 0.500 0.500 0.500
3 S 0.500 0.500 0.000
4 Cl 0.000 0.500 0.500
5 Cl 0.500 0.000 0.500

- Total magnetization: 0.0000 μB/atom
- Theoretical density: 4.2 g/cm³
- Symmetry: P4/mmm


<ii>
A geometry-optimized SrPdSCl2 structure. Source: Alexandria via LeMat-Bulk, functional GGA-PBE.

Cell: 5.531 5.531 5.916 Å, 90.00 90.00 90.00°
Element x y z (fractional)
1 Sr 0.000 0.000 0.000
2 Pd 0.500 0.500 0.500
3 S 0.000 0.000 0.500
4 Cl 0.000 0.500 0.000
5 Cl 0.500 0.000 0.000

- Total magnetization: 0.4041 μB/atom
- Theoretical density: 2.7 g/cm³
- Symmetry: P4/mmm


Stability verdict: <i>, ahead by 767 meV/atom


<i>
A geometry-optimized SrPdS2Cl structure. Source: Alexandria via LeMat-Bulk, functional GGA-PBE.

Cell: 4.802 4.802 4.898 Å, 90.00 90.00 90.00°
Element x y z (fractional)
1 Sr 0.000 0.000 0.000
2 Pd 0.500 0.500 0.500
3 S 0.000 0.500 0.500
4 S 0.500 0.000 0.500
5 Cl 0.500 0.500 0.000

- Total magnetization: 0.0000 μB/atom
- Theoretical density: 4.3 g/cm³
- Symmetry: P4/mmm


<ii>
A geometry-optimized SrPdS2Cl structure. Source: Alexandria via LeMat-Bulk, functional GGA-PBE.

Cell: 5.740 5.740 5.472 Å, 90.00 90.00 90.00°
Element x y z (fractional)
1 Sr 0.000 0.000 0.000
2 Pd 0.500 0.500 0.500
3 S 0.000 0.500 0.000
4 S 0.500 0.000 0.000
5 Cl 0.000 0.000 0.500

- Total magnetization: 0.6052 μB/atom
- Theoretical density: 2.7 g/cm³
- Symmetry: P4/mmm


Stability verdict: <i>, ahead by 1066 meV/atom


<i>
A geometry-optimized TePdSCl2 structure. Source: Alexandria via LeMat-Bulk, functional GGA-PBE.

Cell: 5.265 5.265 5.105 Å, 90.00 90.00 90.00°
Element x y z (fractional)
1 Te 0.000 0.000 0.000
2 Pd 0.500 0.500 0.500
3 S 0.000 0.000 0.500
4 Cl 0.000 0.500 0.000
5 Cl 0.500 0.000 0.000

- Total magnetization: 0.1275 μB/atom
- Theoretical density: 4.0 g/cm³
- Symmetry: P4/mmm


<ii>
A geometry-optimized TePdSCl2 structure. Source: Alexandria via LeMat-Bulk, functional GGA-PBE.

Cell: 4.773 4.773 4.888 Å, 90.00 90.00 90.00°
Element x y z (fractional)
1 Te 0.000 0.000 0.000
2 Pd 0.500 0.500 0.500
3 S 0.500 0.500 0.000
4 Cl 0.000 0.500 0.500
5 Cl 0.500 0.000 0.500

- Total magnetization: 0.0000 μB/atom
- Theoretical density: 5.0 g/cm³
- Symmetry: P4/mmm


Stability verdict: <ii>, ahead by 279 meV/atom